Compound: K4Na2Au3
Source: the Alexandria database
Functional: PBE-GGA
Structure: optimized geometry

Values from the calculation:
Total moment   0.00 μB/cell
Raw total energy   -2.07 eV per atom

Cell: 20.464 4.011 8.619 Å, 90.00 106.64 90.00°
Space group C2/m (No. 12)
Unique sites:
K (0.052, 0.000, 0.350) [4 per cell]
K (0.229, 0.000, 0.725) [4 per cell]
Na (0.104, 0.000, 0.967) [4 per cell]
Au (0.000, 0.500, 0.000) [2 per cell]
Au (0.092, 0.500, 0.696) [4 per cell]

***

Compound: K6NaAu
Source: the Alexandria database
Functional: PBE-GGA
Structure: optimized geometry

Values from the calculation:
Total moment   0.00 μB/cell
Raw total energy   -1.46 eV per atom

Cell: 4.745 13.178 14.782 Å, 90.00 90.00 90.00°
Space group Amm2 (No. 38)
Unique sites:
K (0.000, 0.000, 0.000) [2 per cell]
K (0.000, 0.156, 0.725) [4 per cell]
K (0.500, 0.000, 0.255) [2 per cell]
K (0.500, 0.223, 0.487) [4 per cell]
Na (0.000, 0.000, 0.492) [2 per cell]
Au (0.500, 0.000, 0.616) [2 per cell]

***

Compound: K2Na7Au2
Source: the Alexandria database
Functional: PBE-GGA
Structure: optimized geometry

Values from the calculation:
Total moment   0.00 μB/cell
Raw total energy   -1.75 eV per atom

Cell: 14.730 10.999 4.954 Å, 90.00 109.64 90.00°
Space group C2/m (No. 12)
Unique sites:
K (0.128, 0.000, 0.129) [4 per cell]
Na (0.000, 0.500, 0.500) [2 per cell]
Na (0.134, 0.254, 0.635) [8 per cell]
Na (0.153, 0.500, 0.152) [4 per cell]
Au (0.000, 0.293, 0.000) [4 per cell]

***

raw total energy of number 3 (K2Na7Au2)?
-1.75 eV per atom

***

Repeat the third record exactly.
Compound: K2Na7Au2
Source: the Alexandria database
Functional: PBE-GGA
Structure: optimized geometry

Values from the calculation:
Total moment   0.00 μB/cell
Raw total energy   -1.75 eV per atom

Cell: 14.730 10.999 4.954 Å, 90.00 109.64 90.00°
Space group C2/m (No. 12)
Unique sites:
K (0.128, 0.000, 0.129) [4 per cell]
Na (0.000, 0.500, 0.500) [2 per cell]
Na (0.134, 0.254, 0.635) [8 per cell]
Na (0.153, 0.500, 0.152) [4 per cell]
Au (0.000, 0.293, 0.000) [4 per cell]

***

Which formula does entry 2 have?
K6NaAu